1.
The following is a DFT calculation (PBE) of Sm3TeCl2O6 after structural relaxation.

Results
As for the total energy: -76.9 eV per cell. Its crystal system is monoclinic. The calculation puts the formation energy (no corrections) at -2182 meV/atom.

Cell: 5.5637 6.7602 6.8870 Å, 119.39 81.57 90.00°
Fractional coordinates of all 12 atoms:
O  0.6706  0.8359  0.6719
O  0.7026  0.3016  0.1211
O  0.2974  0.6984  0.8789
O  0.7026  0.8195  0.1211
O  0.2974  0.1805  0.8789
O  0.3294  0.1641  0.3281
Cl  0.8563  0.2942  0.5884
Cl  0.1437  0.7058  0.4116
Sm  0.0000  0.5000  0.0000
Sm  0.5000  0.0000  0.5000
Sm  0.5000  0.5000  0.5000
Te  0.5000  0.0000  0.0000

***

2.
The following is a DFT calculation (PBE) of TcSn2Se2 after structural relaxation.

Results
As for the total energy: -21.8 eV per cell. Its crystal system is tetragonal. The calculation puts the formation energy (no corrections) at 699 meV/atom.

Cell: 3.9488 3.9488 8.5558 Å, 76.66 76.66 90.00°
Each line ends with the local moment (μB).
Fractional coordinates of all 5 atoms:
Sn  0.2500  0.7500  0.5000  0.01
Sn  0.7500  0.2500  0.5000  0.01
Se  0.4137  0.4137  0.1726  -0.03
Se  0.5863  0.5863  0.8274  -0.03
Tc  0.0000  0.0000  0.0000  3.30

***

3.
The following is a DFT calculation (PBE) of TiCd2Pd after structural relaxation.

Results
As for the total energy: -15.9 eV per cell. Its crystal system is tetragonal.

Cell: 3.0000 3.0000 8.2335 Å, 90.00 90.00 90.00°
Each line ends with the local moment (μB).
Fractional coordinates of all 4 atoms:
Pd  0.0000  0.0000  0.5181  0.04
Ti  0.5000  0.5000  0.7233  0.74
Cd  0.5000  0.5000  0.2733  0.00
Cd  0.0000  0.0000  0.9852  0.01